Computed, not measured: crystalline Y3PPb at its relaxed geometry at the GGA-PBE level of DFT.

Properties
Energy relative to the elements in meV/atom: -822
Size of the total moment in μB/f.u.: 0.0
Polymorph energy (0 for the lowest one) in eV/atom: 0.093

a = 5.4175 Å, b = 6.7755 Å, c = 8.9954 Å
α = 96.34°, β = 72.52°, γ = 66.33°
Element x y z (fractional)
P  0.5149  0.1237  0.8739
P  0.8956  0.4919  0.7439
Pb  0.8772  0.0258  0.2446
Pb  0.5332  0.5900  0.3733
Y  0.2143  0.4418  0.1582
Y  0.4138  0.4697  0.7295
Y  0.9967  0.1459  0.8884
Y  0.8153  0.8159  0.5815
Y  0.5952  0.7997  0.0364
Y  0.1961  0.1738  0.4596